{"formula": "GaIr5W4", "functional": "GGA-PBE", "state": "relaxed", "lattice": [[-1.976, -1.508, -1.282], [-1.087, -0.687, 2.484], [-11.382, 15.501, -0.694]], "species": ["Ir", "W", "Ga", "W", "W", "Ir", "Ir", "W", "Ir", "Ir"], "fractional_positions": [[0.500, 0.500, 0.500], [0.000, 0.000, 0.398], [0.000, 0.000, 0.000], [0.000, 0.000, 0.194], [0.000, 0.000, 0.806], [0.500, 0.500, 0.905], [0.500, 0.500, 0.704], [0.000, 0.000, 0.602], [0.500, 0.500, 0.095], [0.500, 0.500, 0.296]], "e_form_ev_per_atom": -0.309, "e_tot_ev_per_atom": -10.2233, "spacegroup": "No. 123"}